The following is a DFT calculation (PBE-GGA) of an optimized crystal structure of AcNdY2Ho.

a b c (Å): 6.505 6.507 9.399
angles (deg): 110.25 90.00 90.00
Sites, in units of the cell vectors:
Y  0.000  0.248  0.000
Y  0.500  0.752  0.000
Ho  0.250  0.251  0.501
Y  0.500  0.248  0.000
Ho  0.750  0.749  0.499
Y  0.000  0.752  0.000
Ac  0.750  0.340  0.680
Ac  0.250  0.660  0.320
Nd  0.250  0.846  0.693
Nd  0.750  0.154  0.307

Its total moment is 0.00 μB/f.u. The calculation puts the uncorrected energy at -48.84 eV for the cell shown.

The following is a DFT calculation (PBE-GGA) of an optimized crystal structure of Cd4HgIr.

a b c (Å): 5.586 5.586 5.586
angles (deg): 60.00 60.00 60.00
Sites, in units of the cell vectors:
Cd  0.876  0.375  0.375
Cd  0.375  0.375  0.375
Cd  0.375  0.876  0.375
Ir  0.000  0.000  0.000
Hg  0.750  0.750  0.750
Cd  0.375  0.375  0.876

Its total moment is 0.00 μB/f.u. The calculation puts the uncorrected energy at -10.29 eV for the cell shown.

The following is a DFT calculation (PBE-GGA) of an optimized crystal structure of TeAs.

a b c (Å): 3.645 3.796 8.334
angles (deg): 90.00 90.00 90.00
Sites, in units of the cell vectors:
As  0.500  0.500  0.821
Te  0.500  0.000  0.597
As  0.000  0.000  0.012
Te  0.000  0.500  0.236

Its total moment is 0.00 μB/f.u. The calculation puts the uncorrected energy at -14.94 eV for the cell shown. Its uncorrected formation energy is 161 meV/atom.

The following is a DFT calculation (PBE-GGA) of an optimized crystal structure of BaTc3P.

a b c (Å): 5.051 5.051 5.051
angles (deg): 90.00 90.00 90.00
Sites, in units of the cell vectors:
Ba  0.000  0.000  0.000
Tc  0.000  0.500  0.000
Tc  0.500  0.000  0.000
Tc  0.000  0.000  0.500
P  0.500  0.500  0.500

Its total moment is 6.49 μB/f.u. The calculation puts the uncorrected energy at -22.50 eV for the cell shown. As for the distance to the lowest polymorph of the same formula: 60.85 kcal/mol of atoms.

The following is a DFT calculation (PBE-GGA) of an optimized crystal structure of Er8NiIr2.

a b c (Å): 4.833 6.776 8.910
angles (deg): 106.71 105.74 90.00
Sites, in units of the cell vectors:
Er  0.969  0.210  0.938
Er  0.667  0.964  0.334
Er  0.204  0.311  0.409
Er  0.031  0.790  0.062
Er  0.596  0.456  0.191
Er  0.404  0.544  0.809
Ir  0.814  0.295  0.628
Ni  0.500  0.000  0.000
Er  0.333  0.036  0.666
Er  0.796  0.689  0.591
Ir  0.186  0.705  0.372

Its total moment is 0.00 μB/f.u. The calculation puts the uncorrected energy at -65.06 eV for the cell shown. As for the distance to the lowest polymorph of the same formula: 0.00 kcal/mol of atoms.

The following is a DFT calculation (PBE-GGA) of an optimized crystal structure of YTh3Se4.

a b c (Å): 7.129 7.229 8.536
angles (deg): 90.00 90.00 110.51
Sites, in units of the cell vectors:
Se  0.506  0.756  0.631
Se  0.999  0.758  0.879
Th  0.750  0.500  0.126
Se  0.001  0.242  0.121
Th  0.250  0.500  0.874
Th  0.250  0.000  0.624
Th  0.250  0.500  0.377
Se  0.494  0.244  0.369
Se  0.006  0.756  0.369
Th  0.750  0.500  0.623
Se  0.994  0.244  0.631
Se  0.499  0.758  0.121
Se  0.501  0.242  0.879
Y  0.750  0.000  0.877
Th  0.750  0.000  0.376
Y  0.250  0.000  0.123

Its total moment is 0.00 μB/f.u. The calculation puts the uncorrected energy at -110.75 eV for the cell shown. Its uncorrected formation energy is -1589 meV/atom.

The following is a DFT calculation (PBE-GGA) of an optimized crystal structure of Tm4CuS3.

a b c (Å): 3.790 6.783 6.783
angles (deg): 108.58 90.00 90.00
Sites, in units of the cell vectors:
Tm  0.500  0.249  0.751
Tm  0.500  0.751  0.249
Tm  0.000  0.753  0.753
Tm  0.000  0.247  0.247
S  0.500  0.500  0.500
Cu  0.500  0.000  0.000
S  0.000  0.500  0.000
S  0.000  0.000  0.500

Its total moment is 0.00 μB/f.u. The calculation puts the uncorrected energy at -46.31 eV for the cell shown. Its uncorrected formation energy is -1493 meV/atom.

The following is a DFT calculation (PBE-GGA) of an optimized crystal structure of Cd3CuPt4.

a b c (Å): 4.163 4.163 8.253
angles (deg): 104.59 104.59 90.02
Sites, in units of the cell vectors:
Cu  0.500  0.000  0.000
Pt  0.120  0.120  0.240
Cd  0.749  0.250  0.499
Pt  0.880  0.880  0.760
Cd  0.251  0.750  0.501
Pt  0.380  0.380  0.760
Cd  0.000  0.500  0.000
Pt  0.620  0.620  0.240

Its total moment is 0.00 μB/f.u. The calculation puts the uncorrected energy at -33.12 eV for the cell shown.

The following is a DFT calculation (PBE-GGA) of an optimized crystal structure of Er7Tl4Sn.

a b c (Å): 5.699 9.280 7.727
angles (deg): 80.86 68.36 72.12
Sites, in units of the cell vectors:
Sn  0.000  0.000  0.000
Tl  0.286  0.341  0.086
Tl  0.568  0.226  0.637
Er  0.500  0.000  0.000
Er  0.214  0.127  0.446
Er  0.656  0.415  0.274
Er  0.071  0.682  0.175
Er  0.344  0.585  0.726
Er  0.929  0.318  0.825
Tl  0.714  0.659  0.914
Er  0.786  0.873  0.554
Tl  0.432  0.774  0.363

Its total moment is 0.00 μB/f.u. The calculation puts the uncorrected energy at -46.59 eV for the cell shown.

The following is a DFT calculation (PBE-GGA) of an optimized crystal structure of CaAgBr2.

a b c (Å): 6.875 6.875 8.351
angles (deg): 65.69 65.69 90.00
Sites, in units of the cell vectors:
Ca  0.250  0.750  0.500
Br  0.165  0.625  0.250
Br  0.375  0.415  0.750
Br  0.875  0.835  0.750
Br  0.585  0.125  0.250
Ag  0.750  0.250  0.500
Ca  0.500  0.500  0.000
Ag  0.000  0.000  0.000

Its total moment is 0.00 μB/f.u. The calculation puts the uncorrected energy at -23.18 eV for the cell shown. Its uncorrected formation energy is -847 meV/atom. As for the distance to the lowest polymorph of the same formula: 4.91 kcal/mol of atoms.

The following is a DFT calculation (PBE-GGA) of an optimized crystal structure of La2OsPd.

a b c (Å): 7.773 7.773 6.368
angles (deg): 52.39 52.39 90.00
Sites, in units of the cell vectors:
La  0.375  0.356  0.750
Os  0.000  0.000  0.000
Pd  0.500  0.500  0.000
Os  0.750  0.250  0.500
Pd  0.250  0.750  0.500
La  0.106  0.625  0.250
La  0.644  0.125  0.250
La  0.875  0.894  0.750

Its total moment is 0.00 μB/f.u. The calculation puts the uncorrected energy at -53.37 eV for the cell shown.

The following is a DFT calculation (PBE-GGA) of an optimized crystal structure of Si2Tc.

a b c (Å): 4.300 4.761 7.797
angles (deg): 90.00 90.00 90.00
Sites, in units of the cell vectors:
Tc  0.750  0.355  0.619
Si  0.750  0.348  0.295
Si  0.250  0.152  0.795
Si  0.750  0.855  0.527
Tc  0.750  0.855  0.881
Si  0.750  0.848  0.205
Si  0.250  0.645  0.027
Si  0.250  0.145  0.473
Si  0.750  0.355  0.973
Tc  0.250  0.645  0.381
Tc  0.250  0.145  0.119
Si  0.250  0.652  0.705

Its total moment is 0.00 μB/f.u. The calculation puts the uncorrected energy at -87.68 eV for the cell shown. Its uncorrected formation energy is -236 meV/atom. As for the distance to the lowest polymorph of the same formula: 3.62 kcal/mol of atoms.